First-principles (PBE) data for crystalline YAu3S at its relaxed geometry, as listed in Alexandria.

Cell lengths 4.834, 4.834, 4.834 Å; angles 90.00, 90.00, 90.00 degrees
Fractional coordinates of all 5 atoms:
Y: 0.000 0.000 0.000
Au: 0.000 0.500 0.500
Au: 0.500 0.000 0.500
Au: 0.500 0.500 0.000
S: 0.500 0.500 0.500

Calculated values
Energy relative to the lowest polymorph listed for this composition ... 0.0 kJ/mol of atoms

=====

First-principles (PBE) data for crystalline YAuS2 at its relaxed geometry, as listed in Alexandria.

Cell lengths 7.185, 4.084, 15.505 Å; angles 90.00, 117.41, 90.00 degrees
Fractional coordinates of all 16 atoms:
Y: 0.203 0.250 0.452
Y: 0.203 0.250 0.952
Y: 0.797 0.750 0.048
Y: 0.797 0.750 0.548
Au: 0.245 0.000 0.250
Au: 0.245 0.500 0.750
Au: 0.755 0.000 0.750
Au: 0.755 0.500 0.250
S: 0.093 0.239 0.600
S: 0.093 0.261 0.100
S: 0.394 0.738 0.399
S: 0.394 0.762 0.899
S: 0.606 0.238 0.101
S: 0.606 0.262 0.601
S: 0.907 0.739 0.900
S: 0.907 0.761 0.400

=====

First-principles (PBE) data for crystalline YAuS2 at its relaxed geometry, as listed in Alexandria.

Cell lengths 7.123, 4.027, 14.547 Å; angles 90.00, 92.20, 90.00 degrees
Fractional coordinates of all 16 atoms:
Y: 0.208 0.015 0.185
Y: 0.208 0.485 0.685
Y: 0.792 0.515 0.315
Y: 0.792 0.985 0.815
Au: 0.427 0.684 0.880
Au: 0.427 0.816 0.380
Au: 0.573 0.184 0.620
Au: 0.573 0.316 0.120
S: 0.168 0.519 0.317
S: 0.168 0.981 0.817
S: 0.278 0.515 0.067
S: 0.278 0.985 0.567
S: 0.722 0.015 0.433
S: 0.722 0.485 0.933
S: 0.832 0.019 0.183
S: 0.832 0.481 0.683

=====

First-principles (PBE) data for crystalline Y2AuS at its relaxed geometry, as listed in Alexandria.

Cell lengths 7.544, 7.544, 7.544 Å; angles 30.02, 30.02, 30.02 degrees
Fractional coordinates of all 4 atoms:
Y: 0.244 0.244 0.244
Y: 0.756 0.756 0.756
Au: 0.000 0.000 0.000
S: 0.500 0.500 0.500

=====

First-principles (PBE) data for crystalline YAuS2 at its relaxed geometry, as listed in Alexandria.

Cell lengths 7.393, 7.393, 7.234 Å; angles 104.64, 104.64, 32.43 degrees
Fractional coordinates of all 8 atoms:
Y: 0.250 0.250 0.250
Y: 0.750 0.750 0.750
Au: 0.750 0.250 0.251
Au: 0.750 0.250 0.749
S: 0.149 0.152 0.868
S: 0.352 0.349 0.631
S: 0.651 0.648 0.369
S: 0.848 0.851 0.132

=====

First-principles (PBE) data for crystalline YAuS2 at its relaxed geometry, as listed in Alexandria.

Cell lengths 7.594, 5.453, 11.181 Å; angles 90.00, 90.00, 90.00 degrees
Fractional coordinates of all 16 atoms:
Y: 0.117 0.250 0.116
Y: 0.383 0.750 0.616
Y: 0.617 0.250 0.384
Y: 0.883 0.750 0.884
Au: 0.187 0.250 0.457
Au: 0.313 0.750 0.957
Au: 0.687 0.250 0.043
Au: 0.813 0.750 0.543
S: 0.045 0.750 0.677
S: 0.077 0.750 0.091
S: 0.423 0.250 0.591
S: 0.455 0.250 0.177
S: 0.545 0.750 0.823
S: 0.577 0.750 0.409
S: 0.923 0.250 0.909
S: 0.955 0.250 0.323

=====

First-principles (PBE) data for crystalline YAuS2 at its relaxed geometry, as listed in Alexandria.

Cell lengths 9.287, 9.287, 5.333 Å; angles 90.00, 90.00, 153.32 degrees
Fractional coordinates of all 8 atoms:
Y: 0.094 0.906 0.750
Y: 0.906 0.094 0.250
Au: 0.358 0.642 0.750
Au: 0.642 0.358 0.250
S: 0.063 0.937 0.250
S: 0.228 0.772 0.750
S: 0.772 0.228 0.250
S: 0.937 0.063 0.750

=====

First-principles (PBE) data for crystalline ZnAuS2 at its relaxed geometry, as listed in Alexandria.

Cell lengths 6.739, 6.739, 6.739 Å; angles 130.73, 130.73, 72.25 degrees
Fractional coordinates of all 8 atoms:
Zn: 0.000 0.000 0.000
Zn: 0.750 0.250 0.500
Au: 0.250 0.750 0.500
Au: 0.500 0.500 0.000
S: 0.107 0.625 0.982
S: 0.375 0.357 0.482
S: 0.643 0.125 0.018
S: 0.875 0.893 0.518

=====

First-principles (PBE) data for crystalline ZnAuS3 at its relaxed geometry, as listed in Alexandria.

Cell lengths 4.833, 4.833, 4.833 Å; angles 90.00, 90.00, 90.00 degrees
Fractional coordinates of all 5 atoms:
Zn: 0.000 0.000 0.000
Au: 0.500 0.500 0.500
S: 0.000 0.500 0.500
S: 0.500 0.000 0.500
S: 0.500 0.500 0.000

Calculated values
Energy relative to the lowest polymorph listed for this composition ... 0.0 kJ/mol of atoms

=====

First-principles (PBE) data for crystalline ZrZnAu2S at its relaxed geometry, as listed in Alexandria.

Cell lengths 4.826, 4.826, 4.564 Å; angles 90.00, 90.00, 90.00 degrees
Fractional coordinates of all 5 atoms:
Zr: 0.000 0.000 0.000
Zn: 0.500 0.500 0.500
Au: 0.000 0.500 0.500
Au: 0.500 0.000 0.500
S: 0.500 0.500 0.000

=====

First-principles (PBE) data for crystalline Zr2AuS2 at its relaxed geometry, as listed in Alexandria.

Cell lengths 7.442, 7.442, 3.349 Å; angles 90.00, 90.00, 90.00 degrees
Fractional coordinates of all 10 atoms:
Zr: 0.149 0.351 0.000
Zr: 0.351 0.851 0.000
Zr: 0.649 0.149 0.000
Zr: 0.851 0.649 0.000
Au: 0.000 0.000 0.000
Au: 0.500 0.500 0.000
S: 0.139 0.639 0.500
S: 0.361 0.139 0.500
S: 0.639 0.861 0.500
S: 0.861 0.361 0.500

=====

First-principles (PBE) data for crystalline Zr3AuS at its relaxed geometry, as listed in Alexandria.

Cell lengths 4.784, 4.784, 4.784 Å; angles 90.00, 90.00, 90.00 degrees
Fractional coordinates of all 5 atoms:
Zr: 0.000 0.000 0.500
Zr: 0.000 0.500 0.000
Zr: 0.500 0.000 0.000
Au: 0.500 0.500 0.500
S: 0.000 0.000 0.000

Calculated values
Energy relative to the lowest polymorph listed for this composition ... 36.1 kJ/mol of atoms

=====

First-principles (PBE) data for crystalline ZrAuS3 at its relaxed geometry, as listed in Alexandria.

Cell lengths 4.742, 4.742, 4.742 Å; angles 90.00, 90.00, 90.00 degrees
Fractional coordinates of all 5 atoms:
Zr: 0.000 0.000 0.000
Au: 0.500 0.500 0.500
S: 0.000 0.500 0.500
S: 0.500 0.000 0.500
S: 0.500 0.500 0.000

Calculated values
Energy relative to the lowest polymorph listed for this composition ... 45.8 kJ/mol of atoms

=====

First-principles (PBE) data for crystalline ZrAuS2 at its relaxed geometry, as listed in Alexandria.

Cell lengths 6.932, 6.932, 6.932 Å; angles 129.42, 129.42, 74.34 degrees
Fractional coordinates of all 8 atoms:
Zr: 0.000 0.000 0.000
Zr: 0.750 0.250 0.500
Au: 0.250 0.750 0.500
Au: 0.500 0.500 0.000
S: 0.117 0.625 0.992
S: 0.375 0.367 0.492
S: 0.633 0.125 0.008
S: 0.875 0.883 0.508

=====

First-principles (PBE) data for crystalline Zr3AuS at its relaxed geometry, as listed in Alexandria.

Cell lengths 8.086, 3.676, 13.633 Å; angles 90.00, 90.00, 90.00 degrees
Fractional coordinates of all 20 atoms:
Zr: 0.026 0.250 0.109
Zr: 0.156 0.250 0.522
Zr: 0.188 0.750 0.282
Zr: 0.312 0.250 0.782
Zr: 0.344 0.750 0.022
Zr: 0.474 0.750 0.609
Zr: 0.526 0.250 0.391
Zr: 0.656 0.250 0.978
Zr: 0.688 0.750 0.218
Zr: 0.812 0.250 0.718
Zr: 0.844 0.750 0.478
Zr: 0.974 0.750 0.891
Au: 0.087 0.750 0.680
Au: 0.413 0.250 0.180
Au: 0.587 0.750 0.820
Au: 0.913 0.250 0.320
S: 0.171 0.250 0.945
S: 0.329 0.750 0.445
S: 0.671 0.250 0.555
S: 0.829 0.750 0.055

Calculated values
Energy relative to the lowest polymorph listed for this composition ... 0.0 kJ/mol of atoms

=====

First-principles (PBE) data for crystalline Zr2AuS at its relaxed geometry, as listed in Alexandria.

Cell lengths 7.213, 7.213, 7.213 Å; angles 29.37, 29.37, 29.37 degrees
Fractional coordinates of all 4 atoms:
Zr: 0.235 0.235 0.235
Zr: 0.765 0.765 0.765
Au: 0.000 0.000 0.000
S: 0.500 0.500 0.500

=====

First-principles (PBE) data for crystalline ZrAuS2 at its relaxed geometry, as listed in Alexandria.

Cell lengths 4.632, 4.632, 4.632 Å; angles 60.00, 60.00, 60.00 degrees
Fractional coordinates of all 4 atoms:
Zr: 0.000 0.000 0.000
Au: 0.500 0.500 0.500
S: 0.250 0.250 0.250
S: 0.750 0.750 0.750

=====

First-principles (PBE) data for crystalline ZrAuS3 at its relaxed geometry, as listed in Alexandria.

Cell lengths 4.975, 4.975, 4.975 Å; angles 90.00, 90.00, 90.00 degrees
Fractional coordinates of all 5 atoms:
Zr: 0.000 0.000 0.000
Au: 0.500 0.500 0.500
S: 0.000 0.000 0.500
S: 0.000 0.500 0.000
S: 0.500 0.000 0.000

Calculated values
Energy relative to the lowest polymorph listed for this composition ... 0.0 kJ/mol of atoms

=====

First-principles (PBE) data for crystalline ZrAuS2 at its relaxed geometry, as listed in Alexandria.

Cell lengths 8.075, 8.075, 8.075 Å; angles 25.73, 25.73, 25.73 degrees
Fractional coordinates of all 4 atoms:
Zr: 0.000 0.000 0.000
Au: 0.500 0.500 0.500
S: 0.400 0.400 0.400
S: 0.600 0.600 0.600

=====

First-principles (PBE) data for crystalline Zr2Au2S at its relaxed geometry, as listed in Alexandria.

Cell lengths 6.868, 6.868, 4.383 Å; angles 90.00, 90.00, 90.00 degrees
Fractional coordinates of all 10 atoms:
Zr: 0.168 0.332 0.000
Zr: 0.332 0.832 0.000
Zr: 0.668 0.168 0.000
Zr: 0.832 0.668 0.000
Au: 0.141 0.641 0.500
Au: 0.359 0.141 0.500
Au: 0.641 0.859 0.500
Au: 0.859 0.359 0.500
S: 0.000 0.000 0.000
S: 0.500 0.500 0.000

=====

First-principles (PBE) data for crystalline Sb5Au24 at its relaxed geometry, as listed in Alexandria.

Cell lengths 9.083, 9.083, 9.083 Å; angles 109.47, 109.47, 109.47 degrees
Fractional coordinates of all 29 atoms:
Sb: 0.000 0.000 0.000
Sb: 0.000 0.000 0.605
Sb: 0.000 0.605 0.000
Sb: 0.395 0.395 0.395
Sb: 0.605 0.000 0.000
Au: 0.000 0.193 0.383
Au: 0.000 0.383 0.193
Au: 0.000 0.422 0.684
Au: 0.000 0.684 0.422
Au: 0.190 0.807 0.807
Au: 0.193 0.000 0.383
Au: 0.193 0.383 0.000
Au: 0.263 0.578 0.578
Au: 0.316 0.316 0.737
Au: 0.316 0.737 0.316
Au: 0.383 0.000 0.193
Au: 0.383 0.193 0.000
Au: 0.422 0.000 0.684
Au: 0.422 0.684 0.000
Au: 0.578 0.263 0.578
Au: 0.578 0.578 0.263
Au: 0.617 0.617 0.810
Au: 0.617 0.810 0.617
Au: 0.684 0.000 0.422
Au: 0.684 0.422 0.000
Au: 0.737 0.316 0.316
Au: 0.807 0.190 0.807
Au: 0.807 0.807 0.190
Au: 0.810 0.617 0.617

=====

First-principles (PBE) data for crystalline Sb5Au3 at its relaxed geometry, as listed in Alexandria.

Cell lengths 9.288, 9.288, 8.037 Å; angles 96.97, 96.97, 138.61 degrees
Fractional coordinates of all 16 atoms:
Sb: 0.000 0.000 0.000
Sb: 0.230 0.784 0.757
Sb: 0.427 0.427 0.831
Sb: 0.475 0.988 0.172
Sb: 0.478 0.650 0.507
Sb: 0.650 0.478 0.507
Sb: 0.764 0.962 0.295
Sb: 0.784 0.230 0.757
Sb: 0.962 0.764 0.295
Sb: 0.988 0.475 0.172
Au: 0.033 0.395 0.517
Au: 0.395 0.033 0.517
Au: 0.441 0.441 0.175
Au: 0.587 0.849 0.887
Au: 0.849 0.587 0.887
Au: 0.987 0.987 0.646

Calculated values
Energy relative to the lowest polymorph listed for this composition ... 0.0 kJ/mol of atoms

=====

In order of appearance, formation energy without anion corrections = 0.04, -1.25, -1.19, -1.37, -1.29, -1.23, -0.61, -0.23, 0.79, 0.28, -1.03, -0.50, 0.33, -0.61, -0.88, -0.94, -0.49, -0.15, -0.99, -0.73, 0.06, 0.08 eV/atom.
In order of appearance, total energy = -4.0455, -5.7510, -5.6853, -6.4530, -5.7908, -5.7266, -5.1043, -3.4311, -2.5991, -3.8247, -6.7524, -7.1148, -4.5132, -5.6300, -7.4887, -7.0624, -5.5053, -4.9874, -6.0138, -6.2888, -3.3634, -3.7299 eV per atom.